# TeP2S6, optimized geometry, DFT PBE
# mass density = 2.43 g/cm3
# formation energy (no corrections) = 0.116 eV/f.u.
# density of states at the Fermi level = 0.162 states/eV/atom
data_TeP2S6
_chemical_formula_sum 'Te4 P8 S24'
_cell_length_a 12.727
_cell_length_b 14.629
_cell_length_c 5.829
_cell_angle_alpha 90.00
_cell_angle_beta 105.79
_cell_angle_gamma 90.00
_space_group_name_H-M_alt 'C 1 2/c 1'
_space_group_IT_number 15
_space_group_name_Hall '-C 2yc'
loop_
_atom_site_label
_atom_site_type_symbol
_atom_site_fract_x
_atom_site_fract_y
_atom_site_fract_z
Te1 Te 0.000 0.102 0.250
P1 P 0.221 0.430 0.266
S1 S 0.110 0.085 0.684
S2 S 0.147 0.321 0.116
S3 S 0.172 0.441 0.588

# TePS4, optimized geometry, DFT PBE
# mass density = 2.90 g/cm3
# distance to the lowest polymorph of the same formula = 0.168 eV per atom
# formation energy (no corrections) = 1.134 eV/f.u.
# density of states at the Fermi level = 0.240 states/eV/atom
data_TePS4
_chemical_formula_sum 'Te4 P4 S16'
_cell_length_a 16.148
_cell_length_b 6.768
_cell_length_c 6.378
_cell_angle_alpha 90.00
_cell_angle_beta 109.70
_cell_angle_gamma 90.00
_space_group_name_H-M_alt 'C 1 2/m 1'
_space_group_IT_number 12
_space_group_name_Hall '-C 2y'
loop_
_atom_site_label
_atom_site_type_symbol
_atom_site_fract_x
_atom_site_fract_y
_atom_site_fract_z
Te1 Te 0.221 0.000 0.188
P1 P 0.060 0.500 0.850
S1 S 0.000 0.279 0.000
S2 S 0.064 0.257 0.599
S3 S 0.198 0.500 0.054

# TePS2, optimized geometry, DFT PBE
# mass density = 4.20 g/cm3
# distance to the lowest polymorph of the same formula = 0.000 eV per atom
# formation energy (no corrections) = 0.906 eV/f.u.
# density of states at the Fermi level = 0.357 states/eV/atom
data_TePS2
_chemical_formula_sum 'Te3 P3 S6'
_cell_length_a 3.5243
_cell_length_b 3.5243
_cell_length_c 24.5363
_cell_angle_alpha 90.00
_cell_angle_beta 90.00
_cell_angle_gamma 120.00
_space_group_name_H-M_alt 'R -3 m'
_space_group_IT_number 166
_space_group_name_Hall '-R 3 2"'
loop_
_atom_site_label
_atom_site_type_symbol
_atom_site_fract_x
_atom_site_fract_y
_atom_site_fract_z
Te1 Te 0.0000 0.0000 0.0000
P1 P 0.0000 0.0000 0.5000
S1 S 0.0000 0.0000 0.1091

# TePS4, optimized geometry, DFT PBE
# mass density = 2.86 g/cm3
# distance to the lowest polymorph of the same formula = 0.000 eV per atom
# formation energy (no corrections) = 0.125 eV/f.u.
# density of states at the Fermi level = 0.520 states/eV/atom
data_TePS4
_chemical_formula_sum 'Te4 P4 S16'
_cell_length_a 7.780
_cell_length_b 8.933
_cell_length_c 9.584
_cell_angle_alpha 90.00
_cell_angle_beta 90.00
_cell_angle_gamma 90.00
_space_group_name_H-M_alt 'C 2 2 21'
_space_group_IT_number 20
_space_group_name_Hall 'C 2c 2'
loop_
_atom_site_label
_atom_site_type_symbol
_atom_site_fract_x
_atom_site_fract_y
_atom_site_fract_z
Te1 Te 0.000 0.238 0.250
P1 P 0.101 0.000 0.000
S1 S 0.043 0.193 0.517
S2 S 0.239 0.023 0.184

Q: Which of these has the lowest density of states at the Fermi level?
A: TeP2S6

Q: Which formula does entry 4 have?
A: TePS4